(A)
Compound: Ta2AlZn
Source: Alexandria via LeMat-Bulk
Functional: PBE-GGA
Structure: relaxed

Summary:
- calculated density (g/cm³) = 11.1
- calculated volume (A^3/atom) = 16.92
- symmetry = Cmm2 (35)
- magnetization (μB/f.u.) = 0.0

a = 2.8480 Å, b = 2.8480 Å, c = 8.5918 Å
α = 90.00°, β = 90.00°, γ = 103.81°
With the nearest neighbours (Å) after each atom.
Fractional positions:
1 Ta 0.0000 0.0000 0.0000  4 Al 2.76-3.09, 6 Ta 2.85-2.89
2 Ta 0.5000 0.5000 0.2664  4 Zn 2.78-3.11, 6 Ta 2.85-2.89
3 Al 0.5000 0.5000 0.7519  2 Zn 2.68, 2 Ta 2.76, 4 Al 2.85
4 Zn 0.0000 0.0000 0.5167  2 Al 2.68, 2 Ta 2.78, 4 Zn 2.85

(B)
Compound: Ta2AlZn
Source: Alexandria via LeMat-Bulk
Functional: PBE-GGA
Structure: relaxed

Summary:
- calculated density (g/cm³) = 11.5
- calculated volume (A^3/atom) = 16.46
- symmetry = Fm-3m (225)
- magnetization (μB/f.u.) = 0.0

a = 4.5327 Å, b = 4.5327 Å, c = 4.5327 Å
α = 60.00°, β = 60.00°, γ = 60.00°
With the nearest neighbours (Å) after each atom.
Fractional positions:
1 Ta 0.2500 0.2500 0.2500  4 Zn 2.78, 4 Al 2.78
2 Ta 0.7500 0.7500 0.7500  4 Zn 2.78, 4 Al 2.78
3 Al 0.0000 0.0000 0.0000  8 Ta 2.78
4 Zn 0.5000 0.5000 0.5000  8 Ta 2.78

Most stable to least stable: (A), (B)

(A)
Compound: ZrTaAl3
Source: Alexandria via LeMat-Bulk
Functional: PBE-GGA
Structure: relaxed

Summary:
- calculated density (g/cm³) = 5.1
- calculated volume (A^3/atom) = 22.82
- symmetry = Pm-3m (221)
- magnetization (μB/f.u.) = 0.0

a = 4.8501 Å, b = 4.8501 Å, c = 4.8501 Å
α = 90.00°, β = 90.00°, γ = 90.00°
With the nearest neighbours (Å) after each atom.
Fractional positions:
1 Zr 0.0000 0.0000 0.0000  12 Al 3.43
2 Ta 0.5000 0.5000 0.5000  6 Al 2.43
3 Al 0.0000 0.5000 0.5000  2 Ta 2.43
4 Al 0.5000 0.0000 0.5000  2 Ta 2.43
5 Al 0.5000 0.5000 0.0000  2 Ta 2.43

(B)
Compound: ZrTaAl3
Source: Alexandria via LeMat-Bulk
Functional: PBE-GGA
Structure: relaxed

Summary:
- calculated density (g/cm³) = 5.0
- calculated volume (A^3/atom) = 23.32
- symmetry = Pm-3m (221)
- magnetization (μB/f.u.) = 0.0

a = 4.8854 Å, b = 4.8854 Å, c = 4.8854 Å
α = 90.00°, β = 90.00°, γ = 90.00°
With the nearest neighbours (Å) after each atom.
Fractional positions:
1 Zr 0.0000 0.0000 0.0000  6 Al 2.44
2 Ta 0.5000 0.5000 0.5000  12 Al 3.45
3 Al 0.0000 0.0000 0.5000  2 Zr 2.44
4 Al 0.0000 0.5000 0.0000  2 Zr 2.44
5 Al 0.5000 0.0000 0.0000  2 Zr 2.44

Most stable to least stable: (A), (B)

(A)
Compound: Tb3Al4
Source: Alexandria via LeMat-Bulk
Functional: PBE-GGA
Structure: relaxed

Summary:
- calculated density (g/cm³) = 5.8
- calculated volume (A^3/atom) = 23.76
- symmetry = Cmcm (63)
- magnetization (μB/f.u.) = 0.0

a = 5.9630 Å, b = 5.9630 Å, c = 14.2488 Å
α = 90.00°, β = 90.00°, γ = 138.96°
With the nearest neighbours (Å) after each atom.
Fractional positions:
1 Tb 0.0078 0.9922 0.7500  7 Al 3.10-3.25
2 Tb 0.2933 0.7067 0.1000  8 Al 3.12-3.42
3 Tb 0.2933 0.7067 0.4000  8 Al 3.12-3.42
4 Tb 0.7067 0.2933 0.6000  8 Al 3.12-3.42
5 Tb 0.7067 0.2933 0.9000  8 Al 3.12-3.42
6 Tb 0.9922 0.0078 0.2500  7 Al 3.10-3.25
7 Al 0.0000 0.0000 0.0000  4 Al 2.66
8 Al 0.0000 0.0000 0.5000  4 Al 2.66
9 Al 0.2854 0.7146 0.7500  2 Al 2.64
10 Al 0.4213 0.5787 0.5981  3 Al 2.64-2.66
11 Al 0.4213 0.5787 0.9019  3 Al 2.64-2.66
12 Al 0.5787 0.4213 0.0981  3 Al 2.64-2.66
13 Al 0.5787 0.4213 0.4019  3 Al 2.64-2.66
14 Al 0.7146 0.2854 0.2500  2 Al 2.64

(B)
Compound: Tb3Al4
Source: Alexandria via LeMat-Bulk
Functional: PBE-GGA
Structure: relaxed

Summary:
- calculated density (g/cm³) = 6.0
- calculated volume (A^3/atom) = 23.07
- symmetry = Immm (71)
- magnetization (μB/f.u.) = 0.3

a = 10.3071 Å, b = 10.3071 Å, c = 10.3071 Å
α = 159.86°, β = 154.62°, γ = 32.61°
With the nearest neighbours (Å) after each atom.
Fractional positions:
1 Tb 0.0000 0.0000 0.0000  12 Al 3.18-3.28
2 Tb 0.3048 0.8048 0.5000  7 Al 3.10-3.29
3 Tb 0.6952 0.1952 0.5000  7 Al 3.10-3.29
4 Al 0.1387 0.6387 0.5000  2 Al 2.68
5 Al 0.4339 0.4339 0.0000  3 Al 2.62-2.68
6 Al 0.5661 0.5661 0.0000  3 Al 2.62-2.68
7 Al 0.8613 0.3613 0.5000  2 Al 2.68

Most stable to least stable: (B), (A)

(A)
Compound: Tb4Al
Source: Alexandria via LeMat-Bulk
Functional: PBE-GGA
Structure: relaxed

Summary:
- calculated density (g/cm³) = 6.4
- calculated volume (A^3/atom) = 34.57
- symmetry = Pm-3m (221)
- magnetization (μB/f.u.) = 0.0

a = 5.5706 Å, b = 5.5706 Å, c = 5.5706 Å
α = 90.00°, β = 90.00°, γ = 90.00°
With the nearest neighbours (Å) after each atom.
Fractional positions:
1 Tb 0.0000 0.0000 0.0000  12 Tb 3.94
2 Tb 0.0000 0.5000 0.5000  2 Al 2.79
3 Tb 0.5000 0.0000 0.5000  2 Al 2.79
4 Tb 0.5000 0.5000 0.0000  2 Al 2.79
5 Al 0.5000 0.5000 0.5000  6 Tb 2.79

(B)
Compound: Tb4Al
Source: Alexandria via LeMat-Bulk
Functional: PBE-GGA
Structure: relaxed

Summary:
- calculated density (g/cm³) = 6.3
- calculated volume (A^3/atom) = 34.90
- symmetry = Fd-3m (227)
- magnetization (μB/f.u.) = 0.0

a = 7.9031 Å, b = 7.9031 Å, c = 7.9031 Å
α = 60.00°, β = 60.00°, γ = 60.00°
With the nearest neighbours (Å) after each atom.
Fractional positions:
1 Tb 0.1932 0.7689 0.7689  1 Al 2.79
2 Tb 0.2311 0.2311 0.2311  1 Al 2.79
3 Tb 0.2311 0.2311 0.8068  1 Al 2.79
4 Tb 0.2311 0.8068 0.2311  1 Al 2.79
5 Tb 0.7689 0.1932 0.7689  1 Al 2.79
6 Tb 0.7689 0.7689 0.1932  1 Al 2.79
7 Tb 0.7689 0.7689 0.7689  1 Al 2.79
8 Tb 0.8068 0.2311 0.2311  1 Al 2.79
9 Al 0.3750 0.3750 0.3750  4 Tb 2.79
10 Al 0.6250 0.6250 0.6250  4 Tb 2.79

(C)
Compound: Tb4Al
Source: Alexandria via LeMat-Bulk
Functional: PBE-GGA
Structure: relaxed

Summary:
- calculated density (g/cm³) = 7.6
- calculated volume (A^3/atom) = 28.89
- symmetry = I4/mmm (139)
- magnetization (μB/f.u.) = 0.0

a = 11.8630 Å, b = 11.8630 Å, c = 11.8630 Å
α = 162.89°, β = 162.89°, γ = 24.29°
With the nearest neighbours (Å) after each atom.
Fractional positions:
1 Tb 0.0834 0.0834 0.0000  4 Al 3.16, 4 Tb 3.53
2 Tb 0.3044 0.3044 0.0000  12 Tb 3.53-3.60
3 Tb 0.6956 0.6956 0.0000  12 Tb 3.53-3.60
4 Tb 0.9166 0.9166 0.0000  4 Al 3.16, 4 Tb 3.53
5 Al 0.5000 0.5000 0.0000  8 Tb 3.16, 4 Al 3.53

Most stable to least stable: (C), (A), (B)